No. 1
Compound: Pu2ZnF8
Source: the Alexandria database
Functional: PBE
Structure: optimized geometry

Cell: 9.9481 7.4034 4.7620 Å, 90.00 108.99 90.00°
With the nearest neighbours (Å) after each atom.
Space group C2/m (No. 12)
Inequivalent atoms, fractional coordinates:
Pu (0.1742, 0.0000, 0.3540) x4  5 F 2.23-2.49
Zn (0.0000, 0.5000, 0.0000) x2  6 F 1.95-2.12
F (0.0822, 0.0000, 0.8011) x4  3 Pu 2.41-2.58
F (0.1256, 0.5000, 0.7604) x4  1 Zn 1.95
F (0.1469, 0.3113, 0.2695) x8  1 Zn 2.12, 1 Pu 2.34

Properties
The value obtained for the polymorph energy (0 for the lowest one) is 0 meV/atom. As for the total energy: -160.65 eV/cell. For the volume, the calculation gives 331.6 Å³/cell. As for the formation energy from raw total energies: -3.22 eV/atom.

No. 2
Compound: Ti5Sn2H
Source: the Alexandria database
Functional: PBE
Structure: optimized geometry

Cell: 3.0067 15.5270 12.6067 Å, 90.00 90.00 90.00°
With the nearest neighbours (Å) after each atom.
Space group Cmcm (No. 63)
Inequivalent atoms, fractional coordinates:
Ti (0.0000, 0.1395, 0.1237) x8  1 H 1.89
Ti (0.0000, 0.2213, 0.7500) x4  2 H 1.89
Ti (0.0000, 0.3100, 0.0524) x8  9 Ti 2.73-3.01, 2 Sn 2.86, 1 H 2.98
Sn (0.0000, 0.0440, 0.6215) x8  3 Ti 2.85-2.86, 2 Sn 3.01
H (0.0000, 0.2052, 0.2500) x4  4 Ti 1.89

Properties
The value obtained for the polymorph energy (0 for the lowest one) is 328 meV/atom. As for the total energy: -202.58 eV/cell. For the volume, the calculation gives 588.5 Å³/cell.

No. 3
Compound: Ac4HgPd3
Source: the Alexandria database
Functional: PBE
Structure: optimized geometry

Cell: 4.1683 4.8556 11.8370 Å, 90.00 90.00 90.00°
With the nearest neighbours (Å) after each atom.
Space group Pmm2 (No. 25)
Inequivalent atoms, fractional coordinates:
Ac (0.0000, 0.0000, 0.0000) x1  6 Pd 3.24, 1 Hg 3.52
Ac (0.0000, 0.5000, 0.2570) x1  7 Pd 3.25-3.30
Ac (0.5000, 0.0000, 0.4769) x1  5 Pd 3.16-3.27, 2 Hg 3.39
Ac (0.5000, 0.5000, 0.7672) x1  3 Pd 3.24-3.45, 4 Hg 3.29
Hg (0.0000, 0.0000, 0.7022) x1  2 Pd 3.14, 6 Ac 3.29-3.39
Pd (0.0000, 0.5000, 0.5346) x1  2 Hg 3.14, 7 Ac 3.27-3.45
Pd (0.5000, 0.0000, 0.2100) x1  2 Pd 3.15, 7 Ac 3.16-3.25
Pd (0.5000, 0.5000, 0.0405) x1  2 Pd 3.15, 7 Ac 3.24-3.30

Properties
The energy of formation is -705 meV/atom. As for the total energy: -37.95 eV/cell. For the volume, the calculation gives 239.6 Å³/cell.

No. 4
Compound: PrSm6Th3
Source: the Alexandria database
Functional: PBE
Structure: optimized geometry

Cell: 13.4604 3.5277 14.3981 Å, 90.00 94.75 90.00°
With the nearest neighbours (Å) after each atom.
Space group P2_1/m (No. 11)
Inequivalent atoms, fractional coordinates:
Pr (0.1917, 0.2500, 0.3860) x2  2 Pr 3.53, 5 Sm 3.53-3.87, 4 Th 3.65-3.70
Sm (0.0695, 0.7500, 0.6027) x2  3 Th 3.34-3.60, 4 Sm 3.53-3.68, 1 Pr 3.53
Sm (0.1185, 0.2500, 0.0170) x2  7 Sm 3.53-3.75, 4 Th 3.55-3.68
Sm (0.2262, 0.2500, 0.7851) x2  4 Th 3.48-3.61, 7 Sm 3.53-3.75
Sm (0.2936, 0.7500, 0.1830) x2  7 Sm 3.53-3.67, 3 Th 3.58-3.59, 2 Pr 3.77
Sm (0.4482, 0.7500, 0.3991) x2  3 Th 3.39-3.62, 7 Sm 3.53-3.64
Sm (0.4670, 0.7500, 0.8007) x2  4 Th 3.48-3.51, 8 Sm 3.53-3.68
Th (0.0317, 0.7500, 0.2087) x2  7 Sm 3.48-3.68, 2 Th 3.53, 2 Pr 3.65
Th (0.3162, 0.7500, 0.5898) x2  7 Sm 3.34-3.62, 2 Th 3.53, 2 Pr 3.70
Th (0.3838, 0.2500, 0.9899) x2  7 Sm 3.48-3.62, 4 Th 3.53-3.58

Properties
The energy of formation is 130 meV/atom. As for the total energy: -108.11 eV/cell. For the volume, the calculation gives 681.3 Å³/cell.